1.
## InNiPdAu (PBE)

Data for InNiPdAu after structural relaxation.

Lattice parameters (Å, degrees): 4.505 4.505 4.505 60.00 60.00 60.00
Positions (direct):
Ni 0.750 0.750 0.750
Au 0.500 0.500 0.500
In 0.000 0.000 0.000
Pd 0.250 0.250 0.250

Final energy   -4.406 eV/atom
Symmetry   F-43m, No. 216

=====

2.
## Pr3In3NiPdAu (PBE)

Data for Pr3In3NiPdAu after structural relaxation.

Lattice parameters (Å, degrees): 7.796 7.796 4.013 90.00 90.00 120.00
Positions (direct):
In 0.002 0.240 0.000
In 0.239 0.998 0.000
In 0.760 0.761 0.000
Pd 0.333 0.667 0.000
Pr 0.003 0.596 0.500
Pr 0.593 0.997 0.500
Pr 0.404 0.407 0.500
Ni 0.000 0.000 0.500
Au 0.667 0.333 0.000

Final energy   -4.729 eV/atom
Symmetry   P-6, No. 174

=====

3.
## Zr2In2NiPdAu2 (PBE)

Data for Zr2In2NiPdAu2 after structural relaxation.

Lattice parameters (Å, degrees): 4.697 4.697 6.722 90.00 90.00 90.00
Positions (direct):
Pd 0.500 0.500 0.500
Ni 0.000 0.000 0.000
Au 0.500 0.500 0.000
Au 0.000 0.000 0.500
In 0.000 0.500 0.246
In 0.500 0.000 0.754
Zr 0.500 0.000 0.241
Zr 0.000 0.500 0.759

Final energy   -5.465 eV/atom
Symmetry   P-4m2, No. 115

=====

4.
## InNiPtAu (PBE)

Data for InNiPtAu after structural relaxation.

Lattice parameters (Å, degrees): 4.519 4.519 4.519 60.00 60.00 60.00
Positions (direct):
Pt 0.250 0.250 0.250
Ni 0.750 0.750 0.750
In 0.000 0.000 0.000
Au 0.500 0.500 0.500

Final energy   -4.564 eV/atom
Symmetry   F-43m, No. 216

=====

Repeat the second record exactly.
## Pr3In3NiPdAu (PBE)

Data for Pr3In3NiPdAu after structural relaxation.

Lattice parameters (Å, degrees): 7.796 7.796 4.013 90.00 90.00 120.00
Positions (direct):
In 0.002 0.240 0.000
In 0.239 0.998 0.000
In 0.760 0.761 0.000
Pd 0.333 0.667 0.000
Pr 0.003 0.596 0.500
Pr 0.593 0.997 0.500
Pr 0.404 0.407 0.500
Ni 0.000 0.000 0.500
Au 0.667 0.333 0.000

Final energy   -4.729 eV/atom
Symmetry   P-6, No. 174

=====

Among the records above, which one has the highest final energy?
InNiPdAu

=====

Look up the final energy of the first one.
-4.406 eV/atom